Record 1
Compound: ReRhPb
Source: Alexandria
Functional: PBE
Structure: relaxed

The structure in CIF format:
```
data_ReRhPb
_chemical_formula_sum 'Re1 Rh1 Pb1'
_cell_length_a 2.9982
_cell_length_b 2.9982
_cell_length_c 6.9422
_cell_angle_alpha 90.00
_cell_angle_beta 90.00
_cell_angle_gamma 120.00
_symmetry_space_group_name_H-M 'P 3 m 1'
_symmetry_Int_Tables_number 156
loop_
_symmetry_equiv_pos_as_xyz
'x,y,z'
'-y,x-y,z'
'-x+y,-x,z'
'-y,-x,z'
'-x+y,y,z'
'x,x-y,z'
loop_
_atom_site_label
_atom_site_fract_x
_atom_site_fract_y
_atom_site_fract_z
Re1 0.0000 0.0000 0.0000
Rh1 0.6667 0.3333 0.2835
Pb1 0.3333 0.6667 0.6357
```

Values from the calculation:
Formation energy from the elements: 160 kJ/mol of formula units
Energy above the lowest structure with this stoichiometry: 0.104 eV/atom

Record 2
Compound: ReRhPb2
Source: Alexandria
Functional: PBE
Structure: relaxed

The structure in CIF format:
```
data_ReRhPb2
_chemical_formula_sum 'Re3 Rh3 Pb6'
_cell_length_a 3.2514
_cell_length_b 3.2514
_cell_length_c 25.8084
_cell_angle_alpha 90.00
_cell_angle_beta 90.00
_cell_angle_gamma 120.00
_symmetry_space_group_name_H-M 'R -3 m'
_symmetry_Int_Tables_number 166
_symmetry_space_group_name_Hall '-R 3 2"'
loop_
_atom_site_label
_atom_site_fract_x
_atom_site_fract_y
_atom_site_fract_z
Re1 0.0000 0.0000 0.0000
Rh1 0.0000 0.0000 0.5000
Pb1 0.0000 0.0000 0.2478
```

Values from the calculation:
Formation energy from the elements: 272 kJ/mol of formula units
Energy above the lowest structure with this stoichiometry: 0.373 eV/atom

Record 3
Compound: Re2Rh2Pb
Source: Alexandria
Functional: PBE
Structure: relaxed

The structure in CIF format:
```
data_Re2Rh2Pb
_chemical_formula_sum 'Re4 Rh4 Pb2'
_cell_length_a 3.615
_cell_length_b 3.615
_cell_length_c 13.565
_cell_angle_alpha 90.00
_cell_angle_beta 90.00
_cell_angle_gamma 90.00
_symmetry_space_group_name_H-M 'I 4/m m m'
_symmetry_Int_Tables_number 139
_symmetry_space_group_name_Hall '-I 4 2'
loop_
_atom_site_label
_atom_site_fract_x
_atom_site_fract_y
_atom_site_fract_z
Re1 0.000 0.500 0.250
Rh1 0.000 0.000 0.104
Pb1 0.000 0.000 0.500
```

Values from the calculation:
Formation energy from the elements: 151 kJ/mol of formula units
Energy above the lowest structure with this stoichiometry: 0.000 eV/atom